## NiGeH12O6F6 (GGA+U)

Data for a relaxed NiGeH12O6F6 crystal.

E_tot ... -127.1 eV for the cell shown
N(E_F) ... 0.00 states/eV per cell
Polymorph energy (0 for the lowest one) ... 0.0 meV per atom
SG ... No. 148

```
NiGeH12O6F6
1.0
4.817 2.781 3.276
-4.817 2.781 3.276
0.000 -5.563 3.276
Ni Ge H O F
1 1 12 6 6
direct
0.000 0.000 0.000 Ni
0.500 0.500 0.500 Ge
0.057 0.192 0.399 H
0.183 0.809 0.693 H
0.191 0.307 0.817 H
0.192 0.399 0.057 H
0.307 0.817 0.191 H
0.399 0.057 0.192 H
0.601 0.943 0.808 H
0.693 0.183 0.809 H
0.808 0.601 0.943 H
0.809 0.693 0.183 H
0.817 0.191 0.307 H
0.943 0.808 0.601 H
0.059 0.883 0.703 O
0.117 0.297 0.941 O
0.297 0.941 0.117 O
0.703 0.059 0.883 O
0.883 0.703 0.059 O
0.941 0.117 0.297 O
0.280 0.327 0.569 F
0.327 0.569 0.280 F
0.431 0.720 0.673 F
0.569 0.280 0.327 F
0.673 0.431 0.720 F
0.720 0.673 0.431 F
```